The following is a PBE+U calculation of Li7Mn2Co3O12 after structural relaxation, from the Alexandria database.

Cell: 2.972 7.743 10.119 Å, 111.04 91.68 96.95°
Fractional positions:
Li 0.000 0.000 0.000
Li 0.013 0.017 0.528
Li 0.321 0.672 0.345
Li 0.362 0.687 0.850
Li 0.476 0.999 0.772
Li 0.631 0.336 0.689
Li 0.669 0.337 0.180
Mn 0.503 0.005 0.265
Mn 0.854 0.683 0.602
Co 0.145 0.326 0.925
Co 0.194 0.342 0.431
Co 0.824 0.669 0.094
O 0.085 0.196 0.743
O 0.119 0.177 0.237
O 0.210 0.501 0.120
O 0.300 0.522 0.625
O 0.395 0.821 0.561
O 0.440 0.838 0.065
O 0.550 0.187 0.971
O 0.566 0.175 0.469
O 0.768 0.504 0.902
O 0.796 0.503 0.400
O 0.875 0.829 0.293
O 0.912 0.825 0.792

Calculated volume (Å³/f.u.): 215.04
E above lowest polymorph (meV/atom): 59
Theoretical density (Mg/m³): 4.1
Total moment (μB/atom): 0.584
Electronic total energy (eV per atom): -5.838